VASP calculation (PBE-GGA) on LiZrTl after structural relaxation.

The structure in extended XYZ format:
```
12
Lattice="6.959 0.000 0.000 0.000 4.053 0.000 0.000 0.000 9.192" Properties=species:S:1:pos:R:3 pbc="T T T"
Zr 4.261 3.040 5.408
Zr 2.698 1.013 3.785
Zr 6.178 1.013 0.812
Zr 0.781 3.040 8.381
Li 4.346 3.040 8.473
Li 6.093 1.013 3.877
Li 0.867 3.040 5.315
Li 2.613 1.013 0.719
Tl 2.549 1.013 6.949
Tl 4.411 3.040 2.243
Tl 6.028 1.013 6.839
Tl 0.931 3.040 2.353
```

Computed properties:
The calculated density comes out at 7.7 g cm⁻³. The value obtained for the formation enthalpy at 0 K is 0.002 eV per atom. The density of states at the Fermi level is 0.926 states/eV per atom. The calculation puts the calculated volume at 259.3 Å³ per cell.

=====

VASP calculation (PBE-GGA) on Li2ZrTl after structural relaxation.

The structure in extended XYZ format:
```
4
Lattice="3.148 0.549 0.000 -0.554 3.147 0.000 0.000 0.000 7.985" Properties=species:S:1:pos:R:3 pbc="T T T"
Li 0.000 0.000 0.243
Li 1.297 1.848 1.971
Tl 0.000 0.000 3.750
Zr 1.297 1.848 6.014
```

Computed properties:
The calculated density comes out at 6.3 g cm⁻³. The value obtained for the formation enthalpy at 0 K is 0.037 eV per atom. The density of states at the Fermi level is 0.938 states/eV per atom. The calculation puts the calculated volume at 81.5 Å³ per cell.

=====

VASP calculation (PBE-GGA) on LiZrTl after structural relaxation.

The structure in extended XYZ format:
```
3
Lattice="4.401 -2.541 0.000 0.000 5.081 0.000 0.000 0.000 3.121" Properties=species:S:1:pos:R:3 pbc="T T T"
Li 2.934 0.000 1.561
Tl 0.000 0.000 0.000
Zr 1.467 2.541 0.000
```

Computed properties:
The calculated density comes out at 7.2 g cm⁻³. The value obtained for the formation enthalpy at 0 K is 0.208 eV per atom. The density of states at the Fermi level is 0.418 states/eV per atom. The calculation puts the calculated volume at 69.8 Å³ per cell.

=====

VASP calculation (PBE-GGA) on LiZrTl2 after structural relaxation.

The structure in extended XYZ format:
```
4
Lattice="-1.353 5.726 -1.035 -3.809 4.123 -2.045 -2.949 1.857 4.222" Properties=species:S:1:pos:R:3 pbc="T T T"
Tl -0.306 0.221 0.394
Tl -5.760 8.577 0.394
Li -1.775 2.783 -0.101
Zr -4.324 5.977 1.026
```

Computed properties:
The calculated density comes out at 9.1 g cm⁻³. The value obtained for the formation enthalpy at 0 K is -0.049 eV per atom. The density of states at the Fermi level is 0.538 states/eV per atom. The calculation puts the calculated volume at 92.7 Å³ per cell.

=====

VASP calculation (PBE-GGA) on Li2ZrTl after structural relaxation.

The structure in extended XYZ format:
```
4
Lattice="5.848 0.006 -0.001 2.921 5.066 0.001 -3.779 -3.583 2.660" Properties=species:S:1:pos:R:3 pbc="T T T"
Li 8.556 4.948 0.000
Li 3.180 -0.548 1.330
Tl 4.601 2.661 0.000
Zr 1.808 2.035 1.331
```

Computed properties:
The calculated density comes out at 6.5 g cm⁻³. The value obtained for the formation enthalpy at 0 K is 0.104 eV per atom. The density of states at the Fermi level is 0.820 states/eV per atom. The calculation puts the calculated volume at 78.8 Å³ per cell.

=====

VASP calculation (PBE-GGA) on LiZrTl2 after structural relaxation.

The structure in extended XYZ format:
```
4
Lattice="3.287 -0.001 0.004 1.643 2.847 0.004 1.654 0.955 9.778" Properties=species:S:1:pos:R:3 pbc="T T T"
Tl 1.649 0.952 7.178
Tl 1.646 0.950 2.602
Zr 3.289 1.899 0.008
Li 3.292 1.900 4.890
```

Computed properties:
The calculated density comes out at 9.2 g cm⁻³. The value obtained for the formation enthalpy at 0 K is -0.046 eV per atom. The density of states at the Fermi level is 0.594 states/eV per atom. The calculation puts the calculated volume at 91.5 Å³ per cell.

=====

VASP calculation (PBE-GGA) on LiZrTl2 after structural relaxation.

The structure in extended XYZ format:
```
8
Lattice="-5.186 -0.179 -5.525 1.560 -7.315 -1.227 -4.055 -4.583 -1.244" Properties=species:S:1:pos:R:3 pbc="T T T"
Tl -0.864 -5.746 -1.957
Tl -6.268 -9.745 -6.799
Tl -4.348 -6.498 -3.507
Tl -3.883 -2.166 -3.729
Li -2.154 -7.823 -2.924
Li -1.813 -3.747 -3.376
Zr -5.527 -4.255 -5.072
Zr 0.000 0.000 0.000
```

Computed properties:
The calculated density comes out at 9.1 g cm⁻³. The value obtained for the formation enthalpy at 0 K is 0.126 eV per atom. The density of states at the Fermi level is 0.842 states/eV per atom. The calculation puts the calculated volume at 184.1 Å³ per cell.

=====

VASP calculation (PBE-GGA) on LiZrTl after structural relaxation.

The structure in extended XYZ format:
```
6
Lattice="-0.789 1.245 -2.888 3.621 -8.958 -8.495 -3.127 -0.637 0.579" Properties=species:S:1:pos:R:3 pbc="T T T"
Tl -2.733 0.277 -1.345
Tl -0.821 -5.054 -5.987
Zr -1.310 -0.920 -4.069
Zr 0.884 -3.222 -3.841
Li 0.529 -5.649 -8.434
Li 2.664 -7.449 -7.973
```

Computed properties:
The calculated density comes out at 7.9 g cm⁻³. The value obtained for the formation enthalpy at 0 K is -0.145 eV per atom. The density of states at the Fermi level is 0.524 states/eV per atom. The calculation puts the calculated volume at 126.4 Å³ per cell.

=====

VASP calculation (PBE-GGA) on Li2ZrTl after structural relaxation.

The structure in extended XYZ format:
```
4
Lattice="2.999 0.000 0.000 0.000 4.418 0.000 0.000 0.000 6.144" Properties=species:S:1:pos:R:3 pbc="T T T"
Li 0.000 0.000 0.092
Li 0.000 0.000 2.980
Tl 1.499 2.209 1.536
Zr 1.499 2.209 4.608
```

Computed properties:
The calculated density comes out at 6.3 g cm⁻³. The value obtained for the formation enthalpy at 0 K is 0.087 eV per atom. The density of states at the Fermi level is 0.502 states/eV per atom. The calculation puts the calculated volume at 81.4 Å³ per cell.

=====

VASP calculation (PBE-GGA) on LiZrTl after structural relaxation.

The structure in extended XYZ format:
```
6
Lattice="-3.674 -0.474 1.758 1.609 -3.036 -2.238 5.077 -4.280 9.454" Properties=species:S:1:pos:R:3 pbc="T T T"
Li 1.117 -3.252 1.457
Li 1.894 -4.538 7.517
Zr 0.000 0.000 0.000
Zr 2.538 -2.140 4.727
Tl 3.808 -3.210 7.091
Tl 1.269 -1.070 2.364
```

Computed properties:
The calculated density comes out at 6.0 g cm⁻³. The value obtained for the formation enthalpy at 0 K is 0.951 eV per atom. The density of states at the Fermi level is 1.519 states/eV per atom. The calculation puts the calculated volume at 168.3 Å³ per cell.

=====

VASP calculation (PBE-GGA) on Li2ZrTl after structural relaxation.

The structure in extended XYZ format:
```
4
Lattice="-5.170 -5.109 7.368 -2.208 -5.748 8.319 -3.613 -3.043 9.209" Properties=species:S:1:pos:R:3 pbc="T T T"
Tl -2.748 -3.475 6.224
Li -5.535 -7.001 12.539
Li -10.951 -13.850 24.806
Zr -8.243 -10.425 18.672
```

Computed properties:
The calculated density comes out at 5.8 g cm⁻³. The value obtained for the formation enthalpy at 0 K is 0.137 eV per atom. The density of states at the Fermi level is 1.082 states/eV per atom. The calculation puts the calculated volume at 88.9 Å³ per cell.

=====

VASP calculation (PBE-GGA) on LiZrTl after structural relaxation.

The structure in extended XYZ format:
```
6
Lattice="-1.105 2.945 -0.668 -1.692 -0.014 2.735 11.049 3.515 4.963" Properties=species:S:1:pos:R:3 pbc="T T T"
Tl 2.852 1.472 1.772
Tl 5.401 4.974 5.258
Li 2.783 3.623 3.631
Li 5.470 2.823 3.398
Zr -0.269 2.048 1.735
Zr 8.522 4.398 5.295
```

Computed properties:
The calculated density comes out at 7.8 g cm⁻³. The value obtained for the formation enthalpy at 0 K is 0.071 eV per atom. The density of states at the Fermi level is 0.729 states/eV per atom. The calculation puts the calculated volume at 128.3 Å³ per cell.

=====

> Which of these has the lowest calculated density?

number 11

=====

Repeat the third record exactly.
VASP calculation (PBE-GGA) on LiZrTl after structural relaxation.

The structure in extended XYZ format:
```
3
Lattice="4.401 -2.541 0.000 0.000 5.081 0.000 0.000 0.000 3.121" Properties=species:S:1:pos:R:3 pbc="T T T"
Li 2.934 0.000 1.561
Tl 0.000 0.000 0.000
Zr 1.467 2.541 0.000
```

Computed properties:
The calculated density comes out at 7.2 g cm⁻³. The value obtained for the formation enthalpy at 0 K is 0.208 eV per atom. The density of states at the Fermi level is 0.418 states/eV per atom. The calculation puts the calculated volume at 69.8 Å³ per cell.